# PBE Ac2In5Ag4, optimized geometry
data_Ac2In5Ag4
_chemical_formula_sum 'Ac2 In5 Ag4'
_cell_length_a 6.346
_cell_length_b 6.137
_cell_length_c 9.233
_cell_angle_alpha 79.77
_cell_angle_beta 69.90
_cell_angle_gamma 58.87
_space_group_name_H-M_alt 'P 1'
_space_group_IT_number 1
_space_group_name_Hall 'P 1'
loop_
_atom_site_label
_atom_site_type_symbol
_atom_site_fract_x
_atom_site_fract_y
_atom_site_fract_z
In1 In 0.750 0.500 0.500
Ag1 Ag 0.502 0.723 0.274
Ac1 Ac 0.134 0.000 0.733
Ag2 Ag 0.225 0.277 0.274
Ag3 Ag 0.498 0.277 0.726
Ag4 Ag 0.775 0.723 0.726
Ac2 Ac 0.866 0.000 0.267
In2 In 0.500 0.000 0.000
In3 In 0.250 0.500 0.500
In4 In 0.500 0.500 0.000
In5 In 0.000 0.500 0.000
# ρ in g/cm³: 8.385
# VASP energy in eV per atom: -3.27
# Formation enthalpy at 0 K in eV per atom: -0.24